The following is a PBE calculation of an optimized crystal structure of Pm5YN6, from the Alexandria database.

* magnetic moment: 0.000 μB per formula unit
* uncorrected formation energy: -1473 meV/atom
* space group: C2/m

a b c (Å): 6.2226 6.2226 6.2215
angles (deg): 99.59 99.59 120.01
Fractional coordinates of all 12 atoms:
Pm  0.0000  0.0000  0.0000
Pm  0.1668  0.8332  0.5000
Pm  0.3341  0.6659  0.0000
Pm  0.6659  0.3341  0.0000
Pm  0.8332  0.1668  0.5000
Y  0.5000  0.5000  0.5000
N  0.0891  0.4176  0.2527
N  0.2540  0.2540  0.7480
N  0.4176  0.0891  0.2527
N  0.5824  0.9109  0.7473
N  0.7460  0.7460  0.2520
N  0.9109  0.5824  0.7473